Record 1
# VNi2B (PBE-GGA, optimized geometry)
data_VNi2B
_chemical_formula_sum 'V4 Ni8 B4'
_cell_length_a 6.308
_cell_length_b 6.308
_cell_length_c 4.404
_cell_angle_alpha 90.00
_cell_angle_beta 90.00
_cell_angle_gamma 90.00
_space_group_name_H-M_alt 'I -4 2 d'
_space_group_IT_number 122
_space_group_name_Hall 'I -4 2bw'
loop_
_atom_site_label
_atom_site_type_symbol
_atom_site_fract_x
_atom_site_fract_y
_atom_site_fract_z
_atom_site_occupancy
V1 V 0.000 0.000 0.000 1
Ni1 Ni 0.159 0.250 0.625 1
B1 B 0.000 0.000 0.500 1
# Formation enthalpy at 0 K, eV per atom: 0.07
# DFT total energy, eV per atom: -6.77
# Spin magnetization, μB/f.u.: 0.0


Record 2
# LaZnGaAu2 (PBE-GGA, optimized geometry)
data_LaZnGaAu2
_chemical_formula_sum 'La2 Zn2 Ga2 Au4'
_cell_length_a 4.256
_cell_length_b 4.256
_cell_length_c 11.911
_cell_angle_alpha 90.00
_cell_angle_beta 90.00
_cell_angle_gamma 90.00
_space_group_name_H-M_alt 'I -4 m 2'
_space_group_IT_number 119
_space_group_name_Hall 'I -4 -2'
loop_
_atom_site_label
_atom_site_type_symbol
_atom_site_fract_x
_atom_site_fract_y
_atom_site_fract_z
_atom_site_occupancy
La1 La 0.000 0.000 0.000 1
Zn1 Zn 0.000 0.500 0.250 1
Ga1 Ga 0.000 0.500 0.750 1
Au1 Au 0.000 0.000 0.383 1
# Formation enthalpy at 0 K, eV per atom: -0.61
# DFT total energy, eV per atom: -3.76
# Spin magnetization, μB/f.u.: 0.0